[1]
Computed, not measured: a geometry-optimized In2SnO structure at the PBE level of DFT.

Cell: 5.834 5.834 7.228 Å, 66.20 66.20 90.00°
Positions (direct):
O  0.250  0.750  0.500
O  0.500  0.500  0.000
Sn  0.750  0.250  0.500
Sn  0.000  0.000  0.000
In  0.539  0.125  0.250
In  0.211  0.625  0.250
In  0.875  0.789  0.750
In  0.375  0.461  0.750

Results
**Crystal system**: tetragonal
**SG**: I-42d
**Polymorph energy (0 for the lowest one)**: 0 meV per atom
**Formation energy from raw total energies**: -0.415 eV per atom
**Density of states at the Fermi level**: 0.143 states/eV per atom


[2]
Computed, not measured: a geometry-optimized SmTmAlPb structure at the PBE level of DFT.

Cell: 5.315 5.315 5.315 Å, 60.00 60.00 60.00°
Positions (direct):
Sm  0.250  0.250  0.250
Al  0.000  0.000  0.000
Tm  0.750  0.750  0.750
Pb  0.500  0.500  0.500

Results
**Crystal system**: cubic
**SG**: F-43m
**Density of states at the Fermi level**: 0.834 states/eV per atom
**ΔE_f**: -0.31 eV per atom


[3]
Computed, not measured: a geometry-optimized BaEr3Fe structure at the PBE level of DFT.

Cell: 5.377 5.377 5.377 Å, 90.00 90.00 90.00°
Positions (direct):
Er  0.500  0.000  0.000
Er  0.000  0.500  0.000
Er  0.000  0.000  0.500
Fe  0.000  0.000  0.000
Ba  0.500  0.500  0.500

Results
**Crystal system**: cubic
**SG**: Pm-3m
**Density of states at the Fermi level**: 1.004 states/eV per atom
**ΔE_f**: 0.11 eV per atom


[4]
Computed, not measured: a geometry-optimized Pm4GaCuBr2 structure at the PBE level of DFT.

Cell: 4.065 7.398 7.704 Å, 107.21 90.00 90.00°
Positions (direct):
Pm  0.000  0.748  0.232
Pm  0.500  0.229  0.216
Pm  0.500  0.771  0.784
Pm  0.000  0.252  0.768
Cu  0.000  0.000  0.000
Ga  0.500  0.500  0.000
Br  0.000  0.500  0.500
Br  0.500  0.000  0.500

Results
**Crystal system**: monoclinic
**SG**: P2/m
**Formation energy from raw total energies**: -0.762 eV per atom
**Density of states at the Fermi level**: 0.743 states/eV per atom


[5]
Computed, not measured: a geometry-optimized TiHgCI2 structure at the PBE level of DFT.

Cell: 5.935 5.488 5.935 Å, 90.00 90.00 90.00°
Positions (direct):
Hg  0.000  0.000  0.000
C  0.500  0.500  0.500
I  0.000  0.000  0.500
I  0.500  0.000  0.000
Ti  0.000  0.500  0.000

Results
**Crystal system**: tetragonal
**SG**: P4/mmm
**Formation energy from raw total energies**: 1.990 eV per atom
**Density of states at the Fermi level**: 3.480 states/eV per atom


[6]
Computed, not measured: a geometry-optimized SbAs2W structure at the PBE level of DFT.

Cell: 6.120 6.120 7.294 Å, 65.19 65.19 90.00°
Positions (direct):
Sb  0.500  0.500  0.000
Sb  0.250  0.750  0.500
As  0.680  0.125  0.250
As  0.875  0.930  0.750
As  0.070  0.625  0.250
As  0.375  0.320  0.750
W  0.750  0.250  0.500
W  0.000  0.000  0.000

Results
**Crystal system**: tetragonal
**SG**: I-42d
**Formation energy from raw total energies**: 0.609 eV per atom
**Density of states at the Fermi level**: 1.264 states/eV per atom


[7]
Computed, not measured: a geometry-optimized TmThCuGe structure at the PBE level of DFT.

Cell: 5.029 5.029 5.029 Å, 60.00 60.00 60.00°
Positions (direct):
Tm  0.500  0.500  0.500
Cu  0.750  0.750  0.750
Ge  0.250  0.250  0.250
Th  0.000  0.000  0.000

Results
**Crystal system**: cubic
**SG**: F-43m
**Density of states at the Fermi level**: 0.875 states/eV per atom
**ΔE_f**: -0.38 eV per atom


[8]
Computed, not measured: a geometry-optimized Tm12Ir3N5 structure at the PBE level of DFT.

Cell: 12.943 12.943 12.943 Å, 109.47 109.47 109.47°
Positions (direct):
N  0.250  0.375  0.625
N  0.000  0.500  0.000
N  0.000  0.000  0.000
N  0.125  0.375  0.250
N  0.625  0.750  0.875
N  0.375  0.125  0.750
N  0.875  0.250  0.625
N  0.000  0.000  0.500
N  0.500  0.500  0.000
N  0.875  0.625  0.750
N  0.375  0.250  0.125
N  0.750  0.125  0.875
N  0.750  0.625  0.375
N  0.625  0.875  0.250
N  0.500  0.500  0.500
N  0.250  0.875  0.125
N  0.000  0.500  0.500
N  0.500  0.000  0.500
N  0.125  0.750  0.375
N  0.500  0.000  0.000
Tm  0.476  0.682  0.098
Tm  0.318  0.794  0.416
Tm  0.378  0.402  0.084
Tm  0.318  0.524  0.402
Tm  0.182  0.098  0.976
Tm  0.524  0.206  0.122
Tm  0.916  0.818  0.794
Tm  0.818  0.902  0.024
Tm  0.294  0.878  0.976
Tm  0.584  0.878  0.402
Tm  0.416  0.294  0.318
Tm  0.206  0.682  0.084
Tm  0.682  0.206  0.584
Tm  0.598  0.976  0.682
Tm  0.706  0.584  0.182
Tm  0.416  0.122  0.598
Tm  0.084  0.902  0.378
Tm  0.098  0.916  0.122
Tm  0.402  0.024  0.318
Tm  0.976  0.378  0.294
Tm  0.024  0.622  0.706
Tm  0.902  0.084  0.878
Tm  0.024  0.402  0.818
Tm  0.294  0.416  0.818
Tm  0.122  0.706  0.524
Tm  0.622  0.024  0.206
Tm  0.794  0.476  0.378
Tm  0.524  0.318  0.902
Tm  0.794  0.318  0.916
Tm  0.622  0.598  0.916
Tm  0.476  0.794  0.878
Tm  0.902  0.818  0.524
Tm  0.206  0.524  0.622
Tm  0.122  0.416  0.098
Tm  0.818  0.916  0.294
Tm  0.878  0.584  0.902
Tm  0.598  0.622  0.416
Tm  0.682  0.476  0.598
Tm  0.584  0.706  0.682
Tm  0.878  0.294  0.476
Tm  0.706  0.122  0.024
Tm  0.402  0.378  0.584
Tm  0.098  0.182  0.476
Tm  0.084  0.182  0.206
Tm  0.916  0.098  0.622
Tm  0.378  0.976  0.794
Tm  0.976  0.598  0.182
Tm  0.182  0.084  0.706
Ir  0.625  0.375  0.750
Ir  0.250  0.625  0.875
Ir  0.750  0.375  0.125
Ir  0.375  0.625  0.250
Ir  0.750  0.875  0.625
Ir  0.875  0.125  0.250
Ir  0.125  0.875  0.750
Ir  0.375  0.750  0.625
Ir  0.125  0.250  0.875
Ir  0.875  0.750  0.125
Ir  0.625  0.250  0.375
Ir  0.250  0.125  0.375

Results
**Crystal system**: cubic
**SG**: Ia-3d
**Formation energy from raw total energies**: -1.082 eV per atom
**Density of states at the Fermi level**: 0.489 states/eV per atom


[9]
Computed, not measured: a geometry-optimized Rb3Hg3Pb2 structure at the PBE level of DFT.

Cell: 5.248 7.368 18.356 Å, 90.00 90.00 110.87°
Positions (direct):
Rb  0.929  0.858  0.103
Rb  0.071  0.142  0.603
Rb  0.071  0.142  0.897
Rb  0.375  0.750  0.750
Rb  0.929  0.858  0.397
Rb  0.625  0.250  0.250
Pb  0.211  0.422  0.108
Pb  0.789  0.578  0.608
Pb  0.211  0.422  0.392
Pb  0.789  0.578  0.892
Hg  0.664  0.329  0.466
Hg  0.336  0.671  0.966
Hg  0.336  0.671  0.534
Hg  0.664  0.329  0.034
Hg  0.347  0.693  0.250
Hg  0.653  0.307  0.750

Results
**Crystal system**: orthorhombic
**SG**: Cmcm
**Density of states at the Fermi level**: 0.606 states/eV per atom
**ΔE_f**: -0.15 eV per atom


[10]
Computed, not measured: a geometry-optimized In2WSe structure at the PBE level of DFT.

Cell: 10.974 10.974 10.974 Å, 16.69 16.69 16.69°
Positions (direct):
Se  0.472  0.472  0.472
In  0.263  0.263  0.263
In  0.013  0.013  0.013
W  0.753  0.753  0.753

Results
**Crystal system**: trigonal
**SG**: R3m
**Formation energy from raw total energies**: 0.037 eV per atom
**Density of states at the Fermi level**: 0.170 states/eV per atom


[11]
Computed, not measured: a geometry-optimized LiAlGaPd structure at the PBE level of DFT.

Cell: 4.331 4.331 4.331 Å, 60.00 60.00 60.00°
Positions (direct):
Al  0.750  0.750  0.750
Ga  0.250  0.250  0.250
Pd  0.000  0.000  0.000
Li  0.500  0.500  0.500

Results
**Crystal system**: cubic
**SG**: F-43m
**Density of states at the Fermi level**: 0.194 states/eV per atom
**ΔE_f**: -0.57 eV per atom


> Look up the density of states at the Fermi level of the second one.

0.834 states/eV per atom


> What is the density of states at the Fermi level in the fifth record?

3.480 states/eV per atom